Entry a
First-principles (GGA+U) data for a relaxed GaNiNF2 crystal, as listed in Alexandria.

Cell lengths 3.8496, 3.8496, 3.9548 Å; angles 90.00, 90.00, 90.00 degrees
Site moments in Bohr magnetons follow the coordinates.
Fractional positions:
1 Ni 0.5000 0.5000 0.5000  1.64
2 N 0.0000 0.0000 0.5000  0.21
3 Ga 0.0000 0.0000 0.0000  -0.01
4 F 0.0000 0.5000 0.0000  0.01
5 F 0.5000 0.0000 0.0000  0.01

Results
As for the magnetization: 2.00 μB per cell.

---

Entry b
First-principles (GGA+U) data for a relaxed GaNiNF2 crystal, as listed in Alexandria.

Cell lengths 3.7936, 3.7936, 4.1810 Å; angles 90.00, 90.00, 90.00 degrees
Site moments in Bohr magnetons follow the coordinates.
Fractional positions:
1 Ni 0.0000 0.0000 0.0000  1.67
2 N 0.0000 0.0000 0.5000  -0.05
3 Ga 0.5000 0.5000 0.5000  0.00
4 F 0.0000 0.5000 0.0000  0.03
5 F 0.5000 0.0000 0.0000  0.03

Results
As for the magnetization: 1.65 μB per cell.

---

Consider the structures shown above. The least stable of them is entry b.